A geometry-optimized Li4Er3Hg4 structure. Source: the Alexandria database, functional GGA-PBE.

## Properties
* magnetic moment: 0.00 Bohr magnetons per cell
* formation enthalpy at 0 K: -0.31 eV/atom

Cell and atoms, written as extended XYZ:
```
11
Lattice="4.345 0.000 0.000 0.000 7.687 0.000 -2.173 -3.843 7.299" Properties=species:S:1:pos:R:3 pbc="T T T"
Li 2.173 2.402 2.572
Li 2.173 5.285 2.572
Li 0.000 1.441 4.726
Li 0.000 -1.441 4.726
Er 0.000 3.843 0.000
Er 0.000 0.000 1.699
Er 2.173 3.843 5.600
Hg 0.000 3.843 3.292
Hg 2.173 6.115 0.000
Hg 2.173 0.000 4.006
Hg 2.173 1.572 0.000
```

---

A geometry-optimized RbGa2PbCl8 structure. Source: the Alexandria database, functional GGA-PBE.

## Properties
* magnetic moment: 0.00 Bohr magnetons per cell
* energy relative to the elements, uncorrected: -1.16 eV per atom

Cell and atoms, written as extended XYZ:
```
12
Lattice="6.799 0.000 0.000 3.399 5.888 0.000 3.399 1.963 9.782" Properties=species:S:1:pos:R:3 pbc="T T T"
Cl 7.799 1.918 7.987
Cl 5.561 2.055 1.795
Cl 10.198 5.888 4.986
Cl 8.037 5.796 7.987
Cl 4.560 4.063 7.987
Cl 9.038 3.788 1.795
Cl 5.799 5.933 1.795
Cl 3.399 1.963 4.795
Ga 3.399 1.963 2.556
Ga 10.198 5.888 7.225
Pb 0.000 0.000 0.000
Rb 6.799 3.925 4.891
```